Record 1
A geometry-optimized CeGaHAu structure, computed with GGA-PBE. Values from VASP.

Geometry as Quantum ESPRESSO input:
```
&SYSTEM
  ibrav = 0, nat = 4, ntyp = 4
/
ATOMIC_SPECIES
Ce 140.12 Ce.upf
Ga 69.72 Ga.upf
H 1.01 H.upf
Au 196.97 Au.upf
ATOMIC_POSITIONS crystal
Ce 0.9052 0.8105 0.8097
Ga 0.5719 0.1438 0.3092
H 0.2386 0.4772 0.8100
Au 0.2386 0.4772 0.3101
CELL_PARAMETERS angstrom
4.5108 0.0000 0.0000
-2.2554 3.9065 0.0077
0.0000 -0.0077 3.9438
```

Calculated values
Space-group type   P-6m2 (187)
Total magnetization   0.10 μB per atom
E_tot   -17.7 eV/f.u.

Record 2
A geometry-optimized ZrCoRu structure, computed with GGA-PBE. Values from VASP.

Geometry as Quantum ESPRESSO input:
```
&SYSTEM
  ibrav = 0, nat = 3, ntyp = 3
/
ATOMIC_SPECIES
Co 58.93 Co.upf
Ru 101.07 Ru.upf
Zr 91.22 Zr.upf
ATOMIC_POSITIONS crystal
Co 0.0000 0.0000 0.0000
Ru 0.5000 0.5000 0.5000
Zr 0.7500 0.7500 0.7500
CELL_PARAMETERS angstrom
-3.0504 2.8330 0.8215
-2.9613 0.8366 -2.9217
-3.9957 -1.2976 0.5969
```

Calculated values
ΔE_f   0.57 eV per atom
Space-group type   F-43m (216)
Total magnetization   0.16 μB per atom
E_tot   -23.2 eV/f.u.

Record 3
A geometry-optimized Ni2AgOs structure, computed with GGA-PBE. Values from VASP.

Geometry as Quantum ESPRESSO input:
```
&SYSTEM
  ibrav = 0, nat = 4, ntyp = 3
/
ATOMIC_SPECIES
Ag 107.87 Ag.upf
Ni 58.69 Ni.upf
Os 190.23 Os.upf
ATOMIC_POSITIONS crystal
Ag 0.5000 0.7500 0.7500
Ni 0.0000 0.9670 0.0339
Ni 0.0000 0.5330 0.4661
Os 0.5000 0.2500 0.2500
CELL_PARAMETERS angstrom
-3.0279 -1.9410 -0.0289
1.4329 -2.2384 0.2160
1.1485 -1.8790 5.8669
```

Calculated values
ΔE_f   0.29 eV per atom
Space-group type   Pmmm (47)
Total magnetization   0.00 μB per atom
E_tot   -24.5 eV/f.u.

Record 4
A geometry-optimized KZrTl structure, computed with GGA-PBE. Values from VASP.

Geometry as Quantum ESPRESSO input:
```
&SYSTEM
  ibrav = 0, nat = 3, ntyp = 3
/
ATOMIC_SPECIES
Tl 204.38 Tl.upf
K 39.10 K.upf
Zr 91.22 Zr.upf
ATOMIC_POSITIONS crystal
Tl 0.0000 0.0000 0.0000
K 0.2500 0.2500 0.2500
Zr 0.7500 0.7500 0.7500
CELL_PARAMETERS angstrom
0.6780 0.4458 5.1900
-3.9378 1.7127 3.0257
-2.4399 -3.3167 3.2621
```

Calculated values
ΔE_f   0.85 eV per atom
Space-group type   F-43m (216)
Total magnetization   0.00 μB per atom
E_tot   -9.5 eV/f.u.

Record 5
A geometry-optimized La3SmPb4 structure, computed with GGA-PBE. Values from VASP.

Geometry as Quantum ESPRESSO input:
```
&SYSTEM
  ibrav = 0, nat = 8, ntyp = 3
/
ATOMIC_SPECIES
Pb 207.20 Pb.upf
Sm 150.36 Sm.upf
La 138.91 La.upf
ATOMIC_POSITIONS crystal
Pb 0.3765 0.3764 0.7530
Pb 0.6235 0.6236 0.2470
Pb 0.1235 0.1236 0.2470
Pb 0.8765 0.8764 0.7530
Sm 0.5000 0.0000 0.0000
La 0.0000 0.5000 0.0000
La 0.7482 0.2483 0.4965
La 0.2518 0.7517 0.5035
CELL_PARAMETERS angstrom
-0.9973 1.4305 4.8875
-4.9625 0.8453 -1.2600
0.9348 -9.8816 0.3280
```

Calculated values
ΔE_f   -0.56 eV per atom
Space-group type   C2/m (12)
Total magnetization   0.00 μB per atom
E_tot   -38.8 eV/f.u.

Record 6
A geometry-optimized LiIn2Pd2 structure, computed with GGA-PBE. Values from VASP.

Geometry as Quantum ESPRESSO input:
```
&SYSTEM
  ibrav = 0, nat = 10, ntyp = 3
/
ATOMIC_SPECIES
Li 6.94 Li.upf
In 114.82 In.upf
Pd 106.42 Pd.upf
ATOMIC_POSITIONS crystal
Li 0.7500 0.2490 0.6704
Li 0.2500 0.7510 0.3296
In 0.7500 0.2503 0.0016
In 0.2500 0.7502 0.6675
In 0.2500 0.7497 0.9984
In 0.7500 0.2498 0.3325
Pd 0.2500 0.2507 0.5104
Pd 0.7500 0.7501 0.1705
Pd 0.2500 0.2499 0.8295
Pd 0.7500 0.7493 0.4896
CELL_PARAMETERS angstrom
4.3936 0.0000 0.0000
0.0000 4.5348 -0.0585
0.0000 0.1428 9.6581
```

Calculated values
ΔE_f   -0.46 eV per atom
Space-group type   P2_1/m (11)
Total magnetization   0.00 μB per atom
E_tot   -20.1 eV/f.u.

Record 7
A geometry-optimized GaOsW3 structure, computed with GGA-PBE. Values from VASP.

Geometry as Quantum ESPRESSO input:
```
&SYSTEM
  ibrav = 0, nat = 5, ntyp = 3
/
ATOMIC_SPECIES
Os 190.23 Os.upf
Ga 69.72 Ga.upf
W 183.84 W.upf
ATOMIC_POSITIONS crystal
Os 0.0000 0.0000 0.0000
Ga 0.5000 0.5000 0.5000
W 0.0000 0.5000 0.0000
W 0.0000 0.0000 0.5000
W 0.5000 0.0000 0.0000
CELL_PARAMETERS angstrom
-2.5252 -3.7915 -1.3913
2.6905 -2.8030 2.7555
-3.0121 0.6749 3.6276
```

Calculated values
ΔE_f   1.95 eV per atom
Space-group type   Pm-3m (221)
Total magnetization   0.00 μB per atom
E_tot   -43.4 eV/f.u.

Record 8
A geometry-optimized CaSi2Bi2 structure, computed with GGA-PBE. Values from VASP.

Geometry as Quantum ESPRESSO input:
```
&SYSTEM
  ibrav = 0, nat = 5, ntyp = 3
/
ATOMIC_SPECIES
Ca 40.08 Ca.upf
Si 28.09 Si.upf
Bi 208.98 Bi.upf
ATOMIC_POSITIONS crystal
Ca 0.0000 0.0000 0.0000
Si 0.7500 0.2500 0.5000
Si 0.2500 0.7500 0.5000
Bi 0.3840 0.3840 0.2320
Bi 0.6160 0.6160 0.7680
CELL_PARAMETERS angstrom
3.5546 0.0000 0.0000
0.0000 3.5546 0.0000
1.7773 1.7773 10.1354
```

Calculated values
Raw formation energy   0.02 eV/atom
Space-group type   I4/mmm (139)
Total magnetization   0.00 μB per atom
E_tot   -20.5 eV/f.u.